# PmZrSb2, optimized geometry, DFT GGA-PBE
data_PmZrSb2
_chemical_formula_sum 'Pm3 Zr3 Sb6'
_space_group_name_H-M_alt 'R -3 m'
_space_group_IT_number 166
_space_group_name_Hall '-R 3 2"'
_cell_length_a 4.2838
_cell_length_b 4.2838
_cell_length_c 21.2953
_cell_angle_alpha 90.00
_cell_angle_beta 90.00
_cell_angle_gamma 120.00
loop_
_atom_site_label
_atom_site_type_symbol
_atom_site_fract_x
_atom_site_fract_y
_atom_site_fract_z
Pm1 Pm 0.0000 0.0000 0.0000
Zr1 Zr 0.0000 0.0000 0.5000
Sb1 Sb 0.0000 0.0000 0.2431
# Magnetization, μB per formula unit: 0.0
# Distance to the lowest polymorph of the same formula, meV/atom: 0
# Formation energy (no corrections), kJ/mol of atoms: -84.7
# Calculated total energy, eV/atom: -6.26